VASP calculation (PBE-GGA) on a relaxed structure of ScGe2P.

The crystal system is tetragonal. The value obtained for the raw total energy is -5.43 eV per atom. The spin magnetization comes out at 0.000 μB per atom. The calculation puts the density at 4.8 g/cm3. The energy relative to the elements is -183.6 meV/atom.

Lattice parameters (Å, degrees): 7.5314 7.5314 5.3497 90.00 90.00 90.00
With the nearest neighbours (Å) after each atom.
Space group I-42d (No. 122)
One atom of each set of equivalent atoms:
Sc 0.0000 0.0000 0.0000  2 P 2.67, 4 Ge 2.92
Ge 0.2181 0.2500 0.6250  2 P 2.59, 2 Ge 2.72
P 0.0000 0.0000 0.5000  4 Ge 2.59, 2 Sc 2.67